Record 1
Entry from Alexandria: an optimized crystal structure of TbSmRh2 (PBE).

**DFT formation energy**: -300 kJ/mol of formula units
**DFT total energy**: -0.499 Ry/atom

The structure in extended XYZ format:
```
4
Lattice="-2.4695 2.2080 -1.2720 -3.0131 -3.7490 -0.6581 -1.7534 0.6221 4.4839" Properties=species:S:1:pos:R:3 pbc="T T T"
Sm -1.2347 1.1040 -0.6360
Rh -1.5065 -1.8745 -0.3290
Tb -3.6179 -0.4595 1.2769
Rh -0.8767 0.3110 2.2419
```

=====

Record 2
Entry from Alexandria: an optimized crystal structure of KSb3P (PBE).

**DFT total energy**: -0.147 Ry/atom
**ΔE_f (raw)**: 1773 meV per atom

The structure in extended XYZ format:
```
5
Lattice="-0.4336 -5.8151 -0.7211 4.4786 0.1374 -3.8009 3.7786 -0.8301 4.4223" Properties=species:S:1:pos:R:3 pbc="T T T"
Sb -0.2168 -2.9076 -0.3605
K 0.0000 0.0000 0.0000
Sb 1.8893 -0.4151 2.2111
Sb 2.2393 0.0687 -1.9005
P 3.9118 -3.2539 -0.0499
```

=====

Record 3
Entry from Alexandria: an optimized crystal structure of BiOsBr2 (PBE).

**DFT total energy**: -0.300 Ry/atom
**ΔE_f (raw)**: 538 meV per atom

The structure in extended XYZ format:
```
8
Lattice="-7.6963 3.0262 -3.7023 -4.5529 -6.7818 3.9212 -6.5567 -0.3430 2.2621" Properties=species:S:1:pos:R:3 pbc="T T T"
Br -6.0211 0.5658 -0.7785
Bi -10.1888 0.4027 -0.6653
Os -6.1246 -1.8778 0.1095
Bi 0.0000 0.0000 0.0000
Br -15.0456 -2.6645 1.3800
Br -6.4441 -3.5539 2.0737
Br -10.1010 -2.5444 2.2868
Os -8.6171 -4.5013 3.1464
```